<i>
! GaHCl2 | Alexandria via LeMat-Bulk | PBE | relaxed; values from VASP
&SYSTEM
  ibrav = 0, nat = 4, ntyp = 3
/
ATOMIC_SPECIES
Ga 69.72 Ga.upf
Cl 35.45 Cl.upf
H 1.01 H.upf
CELL_PARAMETERS angstrom
-1.971 3.044 0.180
-3.220 -1.833 -4.559
-5.147 -1.273 2.033
ATOMIC_POSITIONS angstrom
Ga -5.232 -0.679 1.308
Cl -3.835 -1.703 -3.256
Cl -7.190 0.273 0.379
H -4.015 0.137 0.844
! Symmetry ... No. 1

---

<ii>
! GaHCl2 | Alexandria via LeMat-Bulk | PBE | relaxed; values from VASP
&SYSTEM
  ibrav = 0, nat = 4, ntyp = 3
/
ATOMIC_SPECIES
Ga 69.72 Ga.upf
H 1.01 H.upf
Cl 35.45 Cl.upf
CELL_PARAMETERS angstrom
-0.786 0.687 4.509
1.263 3.984 1.989
-3.222 3.035 1.351
ATOMIC_POSITIONS angstrom
Ga -1.373 3.853 3.924
H 0.000 0.000 0.000
Cl -0.686 1.927 1.962
Cl -2.059 5.780 5.887
! Symmetry ... No. 225

---

Energy ordering: <i> at the bottom, the next structure 85.2 kJ/mol of atoms above.

---

<i>
! GaHCl2 | Alexandria via LeMat-Bulk | PBE | relaxed; values from VASP
&SYSTEM
  ibrav = 0, nat = 4, ntyp = 3
/
ATOMIC_SPECIES
Cl 35.45 Cl.upf
H 1.01 H.upf
Ga 69.72 Ga.upf
CELL_PARAMETERS angstrom
1.877 0.000 7.394
-0.939 1.626 7.394
-0.939 -1.626 7.394
ATOMIC_POSITIONS angstrom
Cl 0.000 0.000 19.741
H 0.000 0.000 11.091
Ga 0.000 0.000 0.000
Cl 0.000 0.000 2.442
! Symmetry ... No. 166

---

<ii>
! GaHCl2 | Alexandria via LeMat-Bulk | PBE | relaxed; values from VASP
&SYSTEM
  ibrav = 0, nat = 8, ntyp = 3
/
ATOMIC_SPECIES
Cl 35.45 Cl.upf
H 1.01 H.upf
Ga 69.72 Ga.upf
CELL_PARAMETERS angstrom
6.252 0.000 0.000
0.000 6.252 0.000
3.126 3.126 4.022
ATOMIC_POSITIONS angstrom
Cl 3.918 1.563 1.006
Cl 4.689 5.461 3.017
Cl 7.815 7.044 3.017
Cl 2.335 4.689 1.006
H 3.126 3.126 0.000
Ga 6.252 3.126 2.011
Ga 0.000 0.000 0.000
H 3.126 6.252 2.011
! Symmetry ... No. 122

---

<iii>
! GaHCl2 | Alexandria via LeMat-Bulk | PBE | relaxed; values from VASP
&SYSTEM
  ibrav = 0, nat = 4, ntyp = 3
/
ATOMIC_SPECIES
Cl 35.45 Cl.upf
Ga 69.72 Ga.upf
H 1.01 H.upf
CELL_PARAMETERS angstrom
-3.839 0.608 5.383
0.311 -1.232 6.516
-0.072 3.363 5.724
ATOMIC_POSITIONS angstrom
Cl -0.308 0.235 1.510
Ga -1.800 1.370 8.812
Cl -3.291 2.504 16.113
H 0.000 0.000 0.000
! Symmetry ... No. 166

---

Energy ordering: <iii> at the bottom, the next structure 40.3 kJ/mol of atoms above.

---

<i>
! Ga2HCl | Alexandria via LeMat-Bulk | PBE | relaxed; values from VASP
&SYSTEM
  ibrav = 0, nat = 8, ntyp = 3
/
ATOMIC_SPECIES
Ga 69.72 Ga.upf
H 1.01 H.upf
Cl 35.45 Cl.upf
CELL_PARAMETERS angstrom
5.482 0.000 0.000
0.000 5.482 0.000
2.741 2.741 5.772
ATOMIC_POSITIONS angstrom
Ga 2.067 4.111 1.443
H 2.741 2.741 0.000
Ga 3.415 1.370 1.443
Cl 0.000 0.000 0.000
Ga 4.111 4.808 4.329
H 2.741 5.482 2.886
Cl 5.482 2.741 2.886
Ga 6.852 6.156 4.329
! Symmetry ... No. 122

---

<ii>
! Ga2HCl | Alexandria via LeMat-Bulk | PBE | relaxed; values from VASP
&SYSTEM
  ibrav = 0, nat = 4, ntyp = 3
/
ATOMIC_SPECIES
Ga 69.72 Ga.upf
Cl 35.45 Cl.upf
H 1.01 H.upf
CELL_PARAMETERS angstrom
0.000 3.422 3.422
3.422 0.000 3.422
3.422 3.422 0.000
ATOMIC_POSITIONS angstrom
Ga 1.711 1.711 1.711
Ga 5.134 5.134 5.134
Cl 3.422 3.422 3.422
H 0.000 0.000 0.000
! Symmetry ... No. 225

---

Energy ordering: <i> at the bottom, the next structure 13.4 kJ/mol of atoms above.

---

<i>
! GaH2Cl2 | Alexandria via LeMat-Bulk | PBE | relaxed; values from VASP
&SYSTEM
  ibrav = 0, nat = 5, ntyp = 3
/
ATOMIC_SPECIES
H 1.01 H.upf
Ga 69.72 Ga.upf
Cl 35.45 Cl.upf
CELL_PARAMETERS angstrom
6.023 1.441 -0.216
1.078 6.108 -0.215
-0.675 -0.718 3.338
ATOMIC_POSITIONS angstrom
H 5.195 4.138 -0.140
Ga 1.768 5.530 3.079
Cl 6.603 6.578 0.721
H 4.028 2.898 2.963
Cl 1.682 1.349 2.097
! Symmetry ... No. 5

---

<ii>
! GaH2Cl2 | Alexandria via LeMat-Bulk | PBE | relaxed; values from VASP
&SYSTEM
  ibrav = 0, nat = 5, ntyp = 3
/
ATOMIC_SPECIES
H 1.01 H.upf
Ga 69.72 Ga.upf
Cl 35.45 Cl.upf
CELL_PARAMETERS angstrom
-0.642 3.021 -0.714
-3.671 -2.015 1.812
2.455 1.856 5.648
ATOMIC_POSITIONS angstrom
H -0.851 1.613 0.556
Ga 0.000 0.000 0.000
H -1.007 1.249 6.191
Cl 0.568 1.214 4.629
Cl -2.426 1.648 2.118
! Symmetry ... No. 12

---

Energy ordering: <i> at the bottom, the next structure 38.4 kJ/mol of atoms above.

---

<i>
! HfGa2Cl2 | Alexandria via LeMat-Bulk | PBE | relaxed; values from VASP
&SYSTEM
  ibrav = 0, nat = 10, ntyp = 3
/
ATOMIC_SPECIES
Ga 69.72 Ga.upf
Hf 178.49 Hf.upf
Cl 35.45 Cl.upf
CELL_PARAMETERS angstrom
-5.317 5.601 2.466
-5.505 -5.804 1.316
1.178 -0.357 3.350
ATOMIC_POSITIONS angstrom
Ga -6.141 -2.966 1.842
Hf 0.000 0.000 0.000
Cl -5.937 2.549 4.260
Cl -2.096 0.995 2.744
Ga -2.717 -0.771 0.873
Ga -4.681 2.763 1.940
Cl -7.547 -1.556 4.388
Hf -5.411 -0.102 1.891
Ga -8.104 0.568 2.909
Cl -3.707 -3.110 2.872
! Symmetry ... No. 127

---

<ii>
! HfGa2Cl2 | Alexandria via LeMat-Bulk | PBE | relaxed; values from VASP
&SYSTEM
  ibrav = 0, nat = 5, ntyp = 3
/
ATOMIC_SPECIES
Hf 178.49 Hf.upf
Ga 69.72 Ga.upf
Cl 35.45 Cl.upf
CELL_PARAMETERS angstrom
4.150 0.000 0.000
0.000 4.150 0.000
2.075 2.075 6.261
ATOMIC_POSITIONS angstrom
Hf 0.000 0.000 0.000
Ga 2.075 2.075 1.271
Cl 4.150 2.075 3.131
Ga 4.150 4.150 4.991
Cl 2.075 4.150 3.131
! Symmetry ... No. 139

---

Energy ordering: <i> at the bottom, the next structure 13.6 kJ/mol of atoms above.

---

<i>
! HfGaSCl2 | Alexandria via LeMat-Bulk | PBE | relaxed; values from VASP
&SYSTEM
  ibrav = 0, nat = 5, ntyp = 4
/
ATOMIC_SPECIES
Cl 35.45 Cl.upf
Hf 178.49 Hf.upf
S 32.06 S.upf
Ga 69.72 Ga.upf
CELL_PARAMETERS angstrom
-0.139 -0.409 -4.992
-1.677 -4.702 0.432
-4.672 1.665 -0.006
ATOMIC_POSITIONS angstrom
Cl -0.838 -2.351 0.216
Hf 0.000 0.000 0.000
S -2.336 0.833 -0.003
Cl -0.070 -0.204 -2.496
Ga -3.244 -1.723 -2.283
! Symmetry ... No. 123

---

<ii>
! HfGaSCl2 | Alexandria via LeMat-Bulk | PBE | relaxed; values from VASP
&SYSTEM
  ibrav = 0, nat = 5, ntyp = 4
/
ATOMIC_SPECIES
Ga 69.72 Ga.upf
S 32.06 S.upf
Cl 35.45 Cl.upf
Hf 178.49 Hf.upf
CELL_PARAMETERS angstrom
-3.566 0.307 3.133
-2.551 -3.056 -2.603
1.891 -3.722 2.517
ATOMIC_POSITIONS angstrom
Ga 0.000 0.000 0.000
S 0.945 -1.861 1.258
Cl -1.783 0.154 1.566
Hf -2.113 -3.235 1.523
Cl -1.275 -1.528 -1.302
! Symmetry ... No. 123

---

Energy ordering: <i> at the bottom, the next structure 102.0 kJ/mol of atoms above.